1.
! CdInPb2 (SCAN, single point on PBEsol structure); values from VASP
! VASP energy = -215.097 eV per formula unit
! ΔE_f = 0.27 eV per formula unit
! SG = R-3m (166)
&SYSTEM
  ibrav = 0, nat = 4, ntyp = 3
/
ATOMIC_SPECIES
Cd 112.41 Cd.upf
In 114.82 In.upf
Pb 207.20 Pb.upf
CELL_PARAMETERS angstrom
1.698 0.980 10.724
-1.698 0.980 10.724
0.000 -1.960 10.724
ATOMIC_POSITIONS crystal
Cd 0.000 0.000 0.000
In 0.500 0.500 0.500
Pb 0.253 0.253 0.253
Pb 0.747 0.747 0.747

---

2.
! CdInPb2 (SCAN, single point on PBEsol structure); values from VASP
! VASP energy = -214.987 eV per formula unit
! ΔE_f = 0.38 eV per formula unit
! SG = Immm (71)
&SYSTEM
  ibrav = 0, nat = 4, ntyp = 3
/
ATOMIC_SPECIES
Cd 112.41 Cd.upf
In 114.82 In.upf
Pb 207.20 Pb.upf
CELL_PARAMETERS angstrom
-1.816 2.774 5.350
1.816 -2.774 5.350
1.816 2.774 -5.350
ATOMIC_POSITIONS crystal
Cd 0.000 0.000 0.000
In 0.500 0.500 0.000
Pb 0.242 0.742 0.500
Pb 0.758 0.258 0.500

---

3.
! CdInPb (SCAN, single point on PBEsol structure); values from VASP
! VASP energy = -139.322 eV per formula unit
! ΔE_f = 0.26 eV per formula unit
! SG = P3m1 (156)
&SYSTEM
  ibrav = 0, nat = 3, ntyp = 3
/
ATOMIC_SPECIES
Cd 112.41 Cd.upf
In 114.82 In.upf
Pb 207.20 Pb.upf
CELL_PARAMETERS angstrom
5.185 0.000 0.000
-2.593 4.490 0.000
0.000 0.000 3.336
ATOMIC_POSITIONS crystal
Cd 0.000 0.000 0.000
In 0.667 0.333 0.976
Pb 0.333 0.667 0.484

---

4.
! CdIn2Pb (SCAN, single point on PBEsol structure); values from VASP
! VASP energy = -172.652 eV per formula unit
! ΔE_f = 0.32 eV per formula unit
! SG = Cm (8)
&SYSTEM
  ibrav = 0, nat = 4, ntyp = 3
/
ATOMIC_SPECIES
Cd 112.41 Cd.upf
In 114.82 In.upf
Pb 207.20 Pb.upf
CELL_PARAMETERS angstrom
5.400 -1.661 0.000
5.400 1.661 0.000
-1.196 0.000 5.700
ATOMIC_POSITIONS crystal
Cd 0.000 0.000 0.000
In 0.493 0.493 0.483
In 0.742 0.742 0.239
Pb 0.251 0.251 0.748

---

5.
! CdInPb2 (SCAN, single point on PBEsol structure); values from VASP
! VASP energy = -215.103 eV per formula unit
! ΔE_f = 0.26 eV per formula unit
! SG = P4/mmm (123)
&SYSTEM
  ibrav = 0, nat = 4, ntyp = 3
/
ATOMIC_SPECIES
Cd 112.41 Cd.upf
In 114.82 In.upf
Pb 207.20 Pb.upf
CELL_PARAMETERS angstrom
3.354 0.000 0.000
0.000 3.354 0.000
0.000 0.000 9.485
ATOMIC_POSITIONS crystal
Cd 0.000 0.000 0.000
In 0.000 0.000 0.500
Pb 0.500 0.500 0.240
Pb 0.500 0.500 0.760

---

6.
! CdInPb2 (SCAN, single point on PBEsol structure); values from VASP
! VASP energy = -215.082 eV per formula unit
! ΔE_f = 0.28 eV per formula unit
! SG = I-4m2 (119)
&SYSTEM
  ibrav = 0, nat = 4, ntyp = 3
/
ATOMIC_SPECIES
Cd 112.41 Cd.upf
In 114.82 In.upf
Pb 207.20 Pb.upf
CELL_PARAMETERS angstrom
-2.380 2.380 4.714
2.380 -2.380 4.714
2.380 2.380 -4.714
ATOMIC_POSITIONS crystal
Cd 0.000 0.000 0.000
In 0.750 0.250 0.500
Pb 0.250 0.750 0.500
Pb 0.500 0.500 0.000

---

Q: What is the formula in the second record?
A: CdInPb2

---

Q: ΔE_f of number 3 (CdInPb)?
A: 0.26 eV per formula unit

---

Q: Number 1 is which compound?
A: CdInPb2